No. 1
# ZnGa6Rh2

An optimized crystal structure of ZnGa6Rh2 (PBE, Alexandria via LeMat-Bulk). Values from VASP.

Structure (Quantum ESPRESSO input):
```
&SYSTEM
  ibrav = 0, nat = 18, ntyp = 3
/
ATOMIC_SPECIES
Zn 65.41 Zn.upf
Ga 69.72 Ga.upf
Rh 102.91 Rh.upf
CELL_PARAMETERS angstrom
6.3910 0.0000 0.0000
0.0000 6.4719 0.0000
-5.3936 0.0000 7.3359
ATOMIC_POSITIONS crystal
Zn 0.0000 0.0000 0.0000
Zn 0.0000 0.5000 0.5000
Ga 0.0816 0.1271 0.4199
Ga 0.0816 0.3729 0.9199
Ga 0.3154 0.6723 0.4378
Ga 0.3154 0.8277 0.9378
Ga 0.4582 0.5123 0.7880
Ga 0.4582 0.9877 0.2880
Ga 0.5418 0.0123 0.7120
Ga 0.5418 0.4877 0.2120
Ga 0.6846 0.1723 0.0622
Ga 0.6846 0.3277 0.5622
Ga 0.9184 0.6271 0.0801
Ga 0.9184 0.8729 0.5801
Rh 0.2161 0.1815 0.7467
Rh 0.2161 0.3185 0.2467
Rh 0.7839 0.6815 0.7533
Rh 0.7839 0.8185 0.2533
```

Computed properties:
- Crystal system: monoclinic
- Total DFT energy (no corrections): -73.2 eV per cell
- Size of the total moment: 0.00 μB/atom
- DFT formation energy: -0.272 eV per atom


No. 2
# KLaW3

An optimized crystal structure of KLaW3 (PBE, Alexandria via LeMat-Bulk). Values from VASP.

Structure (Quantum ESPRESSO input):
```
&SYSTEM
  ibrav = 0, nat = 5, ntyp = 3
/
ATOMIC_SPECIES
K 39.10 K.upf
La 138.91 La.upf
W 183.84 W.upf
CELL_PARAMETERS angstrom
5.0280 0.0000 0.0000
0.0000 5.0280 0.0000
0.0000 0.0000 5.0280
ATOMIC_POSITIONS crystal
K 0.0000 0.0000 0.0000
La 0.5000 0.5000 0.5000
W 0.0000 0.5000 0.5000
W 0.5000 0.0000 0.5000
W 0.5000 0.5000 0.0000
```

Computed properties:
- Crystal system: cubic
- Energy relative to the lowest polymorph listed for this composition: 0.000 eV per atom
- Total DFT energy (no corrections): -30.3 eV per cell
- Size of the total moment: 0.00 μB/atom
- DFT formation energy: 2.921 eV per atom